{"formula": "SiTcTe2N", "functional": "PBE", "state": "relaxed", "cell": [[5.462, 0.000, 0.000], [0.000, 5.462, 0.000], [0.000, 0.000, 3.266]], "species": ["Si", "Te", "Te", "Tc", "N"], "frac_coords": [[0.000, 0.000, 0.000], [0.000, 0.500, 0.000], [0.500, 0.000, 0.000], [0.500, 0.500, 0.500], [0.000, 0.000, 0.500]], "volume_a3_per_atom": 19.49, "e_above_lowest_polymorph_mev_per_atom": 166, "sg": "P4/mmm (123)", "magmom_total_mub_per_atom": 0.523, "e_form_raw_mev_per_atom": 658}

---

{"formula": "ThPdAu2", "functional": "PBE", "state": "relaxed", "cell": [[4.494, 0.436, -1.622], [-2.554, 3.898, -1.140], [0.003, -0.438, 4.777]], "species": ["Th", "Pd", "Au", "Au"], "frac_coords": [[0.500, 0.750, 0.250], [0.500, 0.250, 0.750], [0.000, 0.000, 0.000], [0.000, 0.500, 0.500]], "volume_a3_per_atom": 21.24, "sg": "I4/mmm (139)", "formation_enthalpy_0k_mev_per_atom": -682, "magmom_total_mub_per_atom": 0.000}

---

{"formula": "Ac5Hg2Pt", "functional": "PBE", "state": "relaxed", "cell": [[9.402, 0.000, 0.000], [0.000, 9.157, 0.000], [0.000, 0.000, 13.307]], "species": ["Ac", "Ac", "Ac", "Ac", "Ac", "Ac", "Ac", "Ac", "Ac", "Ac", "Ac", "Ac", "Ac", "Ac", "Ac", "Ac", "Ac", "Ac", "Ac", "Ac", "Hg", "Hg", "Hg", "Hg", "Hg", "Hg", "Hg", "Hg", "Pt", "Pt", "Pt", "Pt"], "frac_coords": [[0.041, 0.250, 0.488], [0.959, 0.750, 0.512], [0.541, 0.750, 0.012], [0.459, 0.250, 0.988], [0.323, 0.963, 0.575], [0.677, 0.037, 0.425], [0.823, 0.037, 0.925], [0.677, 0.463, 0.425], [0.177, 0.963, 0.075], [0.323, 0.537, 0.575], [0.177, 0.537, 0.075], [0.823, 0.463, 0.925], [0.164, 0.250, 0.785], [0.836, 0.750, 0.215], [0.664, 0.750, 0.715], [0.336, 0.250, 0.285], [0.622, 0.250, 0.695], [0.378, 0.750, 0.305], [0.122, 0.750, 0.805], [0.878, 0.250, 0.195], [0.423, 0.528, 0.828], [0.577, 0.472, 0.172], [0.923, 0.472, 0.672], [0.577, 0.028, 0.172], [0.077, 0.528, 0.328], [0.423, 0.972, 0.828], [0.077, 0.972, 0.328], [0.923, 0.028, 0.672], [0.439, 0.250, 0.503], [0.561, 0.750, 0.497], [0.939, 0.750, 0.997], [0.061, 0.250, 0.003]], "volume_a3_per_atom": 35.80, "sg": "Pnma (62)", "formation_enthalpy_0k_mev_per_atom": -540, "magmom_total_mub_per_atom": 0.000}

---

{"formula": "CaLaSe2F", "functional": "PBE", "state": "relaxed", "cell": [[4.165, 0.000, 0.000], [0.000, 4.165, 0.000], [0.000, 0.000, 14.723]], "species": ["Ca", "Ca", "La", "La", "Se", "Se", "Se", "Se", "F", "F"], "frac_coords": [[0.500, 0.000, 0.583], [0.000, 0.500, 0.417], [0.500, 0.000, 0.134], [0.000, 0.500, 0.866], [0.000, 0.500, 0.679], [0.000, 0.500, 0.090], [0.500, 0.000, 0.910], [0.500, 0.000, 0.321], [0.000, 0.000, 0.500], [0.500, 0.500, 0.500]], "volume_a3_per_atom": 25.55, "sg": "P4/nmm (129)", "magmom_total_mub_per_atom": 0.000, "e_form_raw_mev_per_atom": -2471}

---

{"formula": "MnPAuSN", "functional": "PBE", "state": "relaxed", "cell": [[-0.723, 0.351, -3.106], [-1.628, -5.001, -0.183], [-5.036, 4.280, 1.699]], "species": ["Mn", "P", "Au", "S", "N"], "frac_coords": [[0.615, 0.056, 0.414], [0.608, 0.838, 0.985], [0.609, 0.317, 0.144], [0.118, 0.231, 0.646], [0.610, 0.733, 0.180]], "volume_a3_per_atom": 21.35, "e_above_lowest_polymorph_mev_per_atom": 204, "sg": "P1 (1)", "magmom_total_mub_per_atom": 0.647, "e_form_raw_mev_per_atom": 108}

---

{"formula": "TlSnHI2", "functional": "PBE", "state": "relaxed", "cell": [[-5.893, -1.903, -1.087], [1.098, 0.134, -6.189], [1.261, -3.983, 0.138]], "species": ["I", "I", "H", "Tl", "Sn"], "frac_coords": [[0.000, 0.500, 0.000], [0.500, 0.000, 0.000], [0.000, 0.000, 0.500], [0.500, 0.500, 0.500], [0.000, 0.000, 0.000]], "volume_a3_per_atom": 33.05, "sg": "P4/mmm (123)", "magmom_total_mub_per_atom": 0.000}

---

{"formula": "CaSi2Mo", "functional": "PBE", "state": "relaxed", "cell": [[-0.790, -4.865, -6.168], [2.512, -5.187, -5.396], [0.179, -6.982, -3.681]], "species": ["Ca", "Mo", "Si", "Si"], "frac_coords": [[0.250, 0.250, 0.250], [0.750, 0.750, 0.750], [0.013, 0.013, 0.013], [0.487, 0.487, 0.487]], "volume_a3_per_atom": 19.21, "e_above_lowest_polymorph_mev_per_atom": 205, "sg": "R-3m (166)", "magmom_total_mub_per_atom": 0.000, "e_form_raw_mev_per_atom": -79}

---

{"formula": "ZnAgBr2", "functional": "PBE", "state": "relaxed", "cell": [[-3.352, 3.822, -0.585], [-3.836, -0.452, -3.356], [-4.808, -0.536, 1.667]], "species": ["Ag", "Br", "Br", "Zn"], "frac_coords": [[0.500, 0.500, 0.500], [0.000, 0.000, 0.000], [0.750, 0.750, 0.750], [0.250, 0.250, 0.250]], "volume_a3_per_atom": 23.68, "e_above_lowest_polymorph_mev_per_atom": 485, "sg": "F-43m (216)", "magmom_total_mub_per_atom": 0.001, "e_form_raw_mev_per_atom": 240}

---

{"formula": "VRePd2", "functional": "PBE", "state": "relaxed", "cell": [[1.167, 3.194, 2.815], [-3.085, 2.100, 2.358], [-0.293, -0.678, 4.352]], "species": ["Re", "Pd", "Pd", "V"], "frac_coords": [[0.500, 0.500, 0.500], [0.250, 0.250, 0.250], [0.750, 0.750, 0.750], [0.000, 0.000, 0.000]], "volume_a3_per_atom": 15.21, "e_above_lowest_polymorph_mev_per_atom": 129, "sg": "Fm-3m (225)", "formation_enthalpy_0k_mev_per_atom": 401, "magmom_total_mub_per_atom": 0.606}

---

{"formula": "LiHf2ZrIr4", "functional": "PBE", "state": "relaxed", "cell": [[-1.534, -3.928, 1.755], [0.392, -3.874, -2.386], [6.299, -3.829, 2.880]], "species": ["Li", "Hf", "Hf", "Zr", "Ir", "Ir", "Ir", "Ir"], "frac_coords": [[0.500, 0.500, 0.500], [0.756, 0.756, 0.731], [0.244, 0.244, 0.269], [0.000, 0.000, 0.000], [0.373, 0.373, 0.881], [0.877, 0.877, 0.369], [0.123, 0.123, 0.631], [0.627, 0.627, 0.119]], "volume_a3_per_atom": 16.85, "sg": "R-3m (166)", "formation_enthalpy_0k_mev_per_atom": -794, "magmom_total_mub_per_atom": 0.000}

---

{"formula": "KPaS3", "functional": "PBE", "state": "relaxed", "cell": [[-3.672, -1.024, -3.621], [-2.966, -2.326, 3.665], [-2.316, 4.602, 1.047]], "species": ["K", "Pa", "S", "S", "S"], "frac_coords": [[0.500, 0.500, 0.500], [0.000, 0.000, 0.000], [0.000, 0.500, 0.000], [0.000, 0.000, 0.500], [0.500, 0.000, 0.000]], "volume_a3_per_atom": 29.07, "sg": "Pm-3m (221)", "magmom_total_mub_per_atom": 0.000, "e_form_raw_mev_per_atom": -1555}

---

{"formula": "La6Sm2Y5", "functional": "PBE", "state": "relaxed", "cell": [[-0.097, -1.001, 3.546], [10.749, -4.988, -1.116], [8.991, 18.172, 5.377]], "species": ["La", "La", "La", "La", "La", "La", "La", "La", "La", "La", "La", "La", "Sm", "Sm", "Sm", "Sm", "Y", "Y", "Y", "Y", "Y", "Y", "Y", "Y", "Y", "Y"], "frac_coords": [[0.000, 0.078, 0.365], [0.000, 0.922, 0.635], [0.000, 0.578, 0.135], [0.000, 0.422, 0.865], [0.500, 0.325, 0.132], [0.500, 0.675, 0.868], [0.500, 0.825, 0.368], [0.500, 0.175, 0.632], [0.000, 0.560, 0.422], [0.000, 0.440, 0.578], [0.000, 0.060, 0.078], [0.000, 0.940, 0.922], [0.000, 0.333, 0.287], [0.000, 0.667, 0.713], [0.000, 0.833, 0.213], [0.000, 0.167, 0.787], [0.500, 0.299, 0.442], [0.500, 0.701, 0.558], [0.500, 0.799, 0.058], [0.500, 0.201, 0.942], [0.500, 0.593, 0.276], [0.500, 0.407, 0.724], [0.500, 0.093, 0.224], [0.500, 0.907, 0.776], [0.500, 0.500, 0.000], [0.500, 0.000, 0.500]], "volume_a3_per_atom": 35.39, "sg": "Pbam (55)", "formation_enthalpy_0k_mev_per_atom": 108, "magmom_total_mub_per_atom": 0.000}

---

Computed values of E_tot (unit: eV/cell) for the preceding records, in sequence: -27.1; -21.9; -126.0; -56.2; -29.8; -13.9; -24.0; -6.5; -30.3; -72.2; -30.8; -139.8.